AcLaTbHo: relaxed, PBE-GGA.

Properties
Formation enthalpy at 0 K, eV per atom: 0.097

Unit cell a=5.899 b=5.899 c=5.899 alpha=60.00 beta=60.00 gamma=60.00
Fractional coordinates of all 4 atoms:
Ac: 0.000 0.000 0.000
La: 0.500 0.500 0.500
Tb: 0.750 0.750 0.750
Ho: 0.250 0.250 0.250

***

ZrSiBi2Br: relaxed, PBE-GGA.

Properties
Formation energy (no corrections), eV/atom: 0.28

Unit cell a=5.663 b=5.663 c=5.156 alpha=90.00 beta=90.00 gamma=90.00
Fractional coordinates of all 5 atoms:
Zr: 0.000 0.000 0.000
Si: 0.000 0.000 0.500
Bi: 0.000 0.500 0.000
Bi: 0.500 0.000 0.000
Br: 0.500 0.500 0.500

***

KBa2Mo: relaxed, PBE-GGA.

Properties
Relative energy among the computed polymorphs, eV per atom: 0.328
Formation enthalpy at 0 K, eV per atom: 1.113

Unit cell a=13.141 b=13.141 c=13.141 alpha=17.81 beta=17.81 gamma=17.81
Fractional coordinates of all 4 atoms:
K: 0.000 0.000 0.000
Ba: 0.230 0.230 0.230
Ba: 0.464 0.464 0.464
Mo: 0.737 0.737 0.737

***

| no. | VASP energy (eV/atom) |
| --- | --- |
| 1 | -4.464 |
| 2 | -4.400 |
| 3 | -2.830 |